Record 1
ZrAl5Co6: optimized geometry, GGA-PBE.

As for the total DFT energy (no corrections): -76.3 eV for the cell shown. As for the total moment: 0.06 μB per atom. The volume comes out at 149 Å³/f.u.

The space group is P2/m (No. 10) and the conventional cell measures 4.112, 5.886 and 6.507 Å, with angles of 90.00, 108.51 and 90.00 degrees. The inequivalent atoms are Zr at (0.000, 0.000, 0.000), Al at (0.000, 0.500, 0.000), Al at (0.330, 0.000, 0.659), Al at (0.335, 0.500, 0.669), Co at (0.171, 0.258, 0.341) and Co at (0.500, 0.263, 0.000).



Record 2
LiSb2Ru: optimized geometry, GGA-PBE.

The calculation puts the formation energy from raw total energies at -0.097 eV/atom. As for the total moment: 0.00 μB per atom. The volume comes out at 75 Å³/f.u.

The space group is Cm (No. 8) and the conventional cell measures 9.878, 3.424 and 4.433 Å, with angles of 90.00, 92.07 and 90.00 degrees. The inequivalent atoms are Li at (0.000, 0.000, 0.000), Sb at (0.057, 0.500, 0.516), Sb at (0.273, 0.000, 0.988) and Ru at (0.344, 0.500, 0.474).